Entry 1:
A geometry-optimized AcTbMg structure, computed with PBE-GGA.

Cell: 5.5086 5.5086 5.5086 Å, 60.00 60.00 60.00°
With the nearest neighbours (Å) after each atom.
Fractional coordinates of all 3 atoms:
Ac: 0.0000 0.0000 0.0000  4 Tb 3.37, 4 Mg 3.37
Tb: 0.7500 0.7500 0.7500  4 Ac 3.37
Mg: 0.2500 0.2500 0.2500  4 Ac 3.37

Results
Its size of the total moment is 0.01 μB per formula unit. The energy above the lowest structure with this stoichiometry is 1.12 eV per formula unit. As for the space group: No. 216.

***

Entry 2:
A geometry-optimized AcThMg structure, computed with PBE-GGA.

Cell: 5.4306 5.4306 5.4306 Å, 60.00 60.00 60.00°
With the nearest neighbours (Å) after each atom.
Fractional coordinates of all 3 atoms:
Mg: 0.0000 0.0000 0.0000  4 Th 3.33, 4 Ac 3.33
Ac: 0.2500 0.2500 0.2500  4 Mg 3.33
Th: 0.7500 0.7500 0.7500  4 Mg 3.33

Results
Its size of the total moment is 0.01 μB per formula unit. The energy above the lowest structure with this stoichiometry is 0.00 eV per formula unit. As for the space group: No. 216.

***

Entry 3:
A geometry-optimized AcTmMg structure, computed with PBE-GGA.

Cell: 5.5351 5.5351 5.5351 Å, 60.00 60.00 60.00°
With the nearest neighbours (Å) after each atom.
Fractional coordinates of all 3 atoms:
Mg: 0.2500 0.2500 0.2500  4 Ac 3.39
Tm: 0.7500 0.7500 0.7500  4 Ac 3.39
Ac: 0.0000 0.0000 0.0000  4 Tm 3.39, 4 Mg 3.39

Results
Its size of the total moment is 0.00 μB per formula unit. The energy above the lowest structure with this stoichiometry is 1.13 eV per formula unit. As for the space group: No. 216.

***

Entry 4:
A geometry-optimized AcTmMg structure, computed with PBE-GGA.

Cell: 5.4382 5.4382 5.4382 Å, 60.00 60.00 60.00°
With the nearest neighbours (Å) after each atom.
Fractional coordinates of all 3 atoms:
Tm: 0.7500 0.7500 0.7500  4 Mg 3.33
Ac: 0.2500 0.2500 0.2500  4 Mg 3.33
Mg: 0.0000 0.0000 0.0000  4 Ac 3.33, 4 Tm 3.33

Results
Its size of the total moment is 0.23 μB per formula unit. The energy above the lowest structure with this stoichiometry is 0.00 eV per formula unit. As for the space group: No. 216.